ScSb2Mo | meta-GGA SCAN | PBEsol geometry

```
ScSb2Mo
1.0
8.4357 0.0000 0.0000
0.0000 3.4682 0.0000
-1.2110 0.0000 5.6880
Sc Sb Mo
2 4 2
Cartesian
0.0000 0.0000 0.0000
4.2178 1.7341 0.0000
1.1506 0.0000 4.0990
1.8563 1.7341 1.5890
5.3685 1.7341 4.0990
6.0741 0.0000 1.5890
-0.6055 1.7341 2.8440
3.6124 0.0000 2.8440
```

**ΔE_f (raw)**: -0.12 eV/atom
**Crystal system**: monoclinic
**Calculated density**: 7.7 g/cm3